Compound: Mn3VCu
Source: the Alexandria database
Functional: PBE
Structure: optimized geometry

* ΔH_f (0 K): 1.05 eV per atom
* total energy: -7.10 eV per atom
* offset from the most stable computed form: 0 meV/atom

a = 4.4858 Å, b = 4.4858 Å, c = 4.4858 Å
α = 90.00°, β = 90.00°, γ = 90.00°
Closest atoms and distances in Å follow each position.
Space group Pm-3m (No. 221)
One atom of each set of equivalent atoms:
Mn  0.0000  0.0000  0.5000 [3 per cell]  2 Cu 2.24
V  0.5000  0.5000  0.5000 [1 per cell]  12 Mn 3.17
Cu  0.0000  0.0000  0.0000 [1 per cell]  6 Mn 2.24